# 1
# Nd2HgF (GGA-PBE, relaxed)
# **E_tot**: -16.21 eV/f.u.
# **Total magnetic moment**: 0.0 Bohr magnetons per cell
# **E_form (uncorrected)**: -435 kJ/mol of formula units
data_Nd2HgF
_space_group_name_H-M_alt 'P 4/m m m'
_space_group_IT_number 123
_space_group_name_Hall '-P 4 2'
_cell_length_a 3.384
_cell_length_b 3.384
_cell_length_c 8.063
_cell_angle_alpha 90.00
_cell_angle_beta 90.00
_cell_angle_gamma 90.00
loop_
_atom_site_label
_atom_site_type_symbol
_atom_site_fract_x
_atom_site_fract_y
_atom_site_fract_z
Nd1 Nd 0.000 0.000 0.232
Hg1 Hg 0.500 0.500 0.500
F1 F 0.500 0.500 0.000

=====

# 2
# NdHgF5 (GGA-PBE, relaxed)
# **E_tot**: -34.69 eV/f.u.
# **Total magnetic moment**: 0.0 Bohr magnetons per cell
# **E_form (uncorrected)**: -1955 kJ/mol of formula units
data_NdHgF5
_space_group_name_H-M_alt 'C 1 2/c 1'
_space_group_IT_number 15
_cell_length_a 9.701
_cell_length_b 7.632
_cell_length_c 7.992
_cell_angle_alpha 90.00
_cell_angle_beta 113.16
_cell_angle_gamma 90.00
loop_
_space_group_symop_operation_xyz
'x,y,z'
'-x,-y,-z'
'-x,y,-z+1/2'
'x,-y,z+1/2'
'x+1/2,y+1/2,z'
'-x+1/2,-y+1/2,-z'
'-x+1/2,y+1/2,-z+1/2'
'x+1/2,-y+1/2,z+1/2'
loop_
_atom_site_label
_atom_site_type_symbol
_atom_site_fract_x
_atom_site_fract_y
_atom_site_fract_z
Nd1 Nd 0.000 0.045 0.250
Hg1 Hg 0.000 0.500 0.000
F1 F 0.000 0.351 0.250
F2 F 0.007 0.168 0.965
F3 F 0.246 0.472 0.631

=====

# 3
# NdHgF3 (GGA-PBE, relaxed)
# **E_tot**: -26.28 eV/f.u.
# **Total magnetic moment**: 0.0 Bohr magnetons per cell
# **E_form (uncorrected)**: -1505 kJ/mol of formula units
data_NdHgF3
_space_group_name_H-M_alt 'P m -3 m'
_space_group_IT_number 221
_space_group_name_Hall '-P 4 2 3'
_cell_length_a 4.669
_cell_length_b 4.669
_cell_length_c 4.669
_cell_angle_alpha 90.00
_cell_angle_beta 90.00
_cell_angle_gamma 90.00
loop_
_atom_site_label
_atom_site_type_symbol
_atom_site_fract_x
_atom_site_fract_y
_atom_site_fract_z
Nd1 Nd 0.000 0.000 0.000
Hg1 Hg 0.500 0.500 0.500
F1 F 0.000 0.000 0.500

=====

# 4
# Nd2HgF (GGA-PBE, relaxed)
# **E_tot**: -17.02 eV/f.u.
# **Total magnetic moment**: 0.0 Bohr magnetons per cell
# **E_form (uncorrected)**: -512 kJ/mol of formula units
data_Nd2HgF
_space_group_name_H-M_alt 'R -3 m'
_space_group_IT_number 166
_space_group_name_Hall '-R 3 2"'
_cell_length_a 3.9247
_cell_length_b 3.9247
_cell_length_c 22.0643
_cell_angle_alpha 90.00
_cell_angle_beta 90.00
_cell_angle_gamma 120.00
loop_
_atom_site_label
_atom_site_type_symbol
_atom_site_fract_x
_atom_site_fract_y
_atom_site_fract_z
Nd1 Nd 0.0000 0.0000 0.2305
Hg1 Hg 0.0000 0.0000 0.0000
F1 F 0.0000 0.0000 0.5000

=====

# 5
# NdHg2F8 (GGA-PBE, relaxed)
# **E_tot**: -44.92 eV/f.u.
# **Total magnetic moment**: 2.2 Bohr magnetons per cell
# **E_form (uncorrected)**: -2372 kJ/mol of formula units
data_NdHg2F8
_space_group_name_H-M_alt 'I 4 2 2'
_space_group_IT_number 97
_space_group_name_Hall 'I 4 2'
_cell_length_a 5.832
_cell_length_b 5.832
_cell_length_c 11.220
_cell_angle_alpha 90.00
_cell_angle_beta 90.00
_cell_angle_gamma 90.00
loop_
_atom_site_label
_atom_site_type_symbol
_atom_site_fract_x
_atom_site_fract_y
_atom_site_fract_z
Nd1 Nd 0.000 0.000 0.000
Hg1 Hg 0.000 0.500 0.250
F1 F 0.180 0.280 0.876

=====

# 6
# NdHgF (GGA-PBE, relaxed)
# **E_tot**: -12.27 eV/f.u.
# **Total magnetic moment**: 0.0 Bohr magnetons per cell
# **E_form (uncorrected)**: -514 kJ/mol of formula units
data_NdHgF
_space_group_name_H-M_alt 'F d d 2'
_space_group_IT_number 43
_space_group_name_Hall 'F 2 -2d'
_cell_length_a 9.647
_cell_length_b 15.250
_cell_length_c 7.743
_cell_angle_alpha 90.00
_cell_angle_beta 90.00
_cell_angle_gamma 90.00
loop_
_atom_site_label
_atom_site_type_symbol
_atom_site_fract_x
_atom_site_fract_y
_atom_site_fract_z
Nd1 Nd 0.057 0.214 0.000
Hg1 Hg 0.016 0.407 0.820
F1 F 0.037 0.081 0.843